A plane-wave DFT calculation with PBE was carried out for a geometry-optimized Nd8CuRh3I4 structure.

Output
Energy ... -5.24 eV/atom
Magnetization ... 0.00 μB per formula unit
DOS at the Fermi energy ... 9.2 states/eV per cell
Formation energy (no corrections) ... -0.836 eV/atom
Symmetry ... R-3m, No. 166

a b c (Å): 9.4750 9.4750 9.4750
angles (deg): 52.69 52.69 52.69
Closest atoms and distances in Å follow each position.
Atoms (fractional coordinates):
Nd1 0.2221 0.7313 0.7313  2 Rh 2.84, 1 Cu 2.89
Nd2 0.2293 0.2293 0.2293  3 Rh 2.87
Nd3 0.2687 0.2687 0.7779  2 Rh 2.84, 1 Cu 2.89
Nd4 0.2687 0.7779 0.2687  2 Rh 2.84, 1 Cu 2.89
Nd5 0.7313 0.2221 0.7313  2 Rh 2.84, 1 Cu 2.89
Nd6 0.7313 0.7313 0.2221  2 Rh 2.84, 1 Cu 2.89
Nd7 0.7707 0.7707 0.7707  3 Rh 2.87
Nd8 0.7779 0.2687 0.2687  2 Rh 2.84, 1 Cu 2.89
Cu1 0.5000 0.5000 0.5000  6 Nd 2.89
Rh1 0.0000 0.0000 0.5000  6 Nd 2.84-2.87
Rh2 0.0000 0.5000 0.0000  6 Nd 2.84-2.87
Rh3 0.5000 0.0000 0.0000  6 Nd 2.84-2.87
I1 0.0000 0.0000 0.0000  6 Nd 3.50
I2 0.0000 0.5000 0.5000  6 Nd 3.51-3.55
I3 0.5000 0.0000 0.5000  6 Nd 3.51-3.55
I4 0.5000 0.5000 0.0000  6 Nd 3.51-3.55